[1]
Material: ScZnCoGe
Method: DFT, PBE
State: relaxed

POSCAR file:
```
ScZnCoGe
1.0
0.0000 3.1077 3.1077
3.1077 0.0000 3.1077
3.1077 3.1077 0.0000
Sc Co Zn Ge
1 1 1 1
Cartesian
3.1077 3.1077 3.1077 Sc
4.6615 4.6615 4.6615 Co
0.0000 0.0000 0.0000 Zn
1.5538 1.5538 1.5538 Ge
```

## Properties
E in eV for the cell shown: -19.948

[2]
Material: Gd2TlZn2In
Method: DFT, PBE
State: relaxed

POSCAR file:
```
Gd2TlZn2In
1.0
4.6870 0.0000 0.0000
-2.3435 4.0591 0.0000
0.0000 0.0000 7.4150
Gd Tl In Zn
2 1 1 2
Cartesian
2.3435 1.3530 5.4966 Gd
2.3435 1.3530 1.7961 Gd
0.0000 2.7061 7.1384 Tl
0.0000 0.0000 3.4557 In
0.0000 2.7061 3.9983 Zn
0.0000 0.0000 0.3598 Zn
```

## Properties
E in eV for the cell shown: -19.463